No. 1
Entry from Alexandria via LeMat-Bulk: Tb2YPuO8 after structural relaxation (GGA-PBE).

Structure (extended XYZ):
```
12
Lattice="3.580 -3.646 0.000 3.580 3.646 0.000 0.000 0.000 6.997" Properties=species:S:1:pos:R:3 pbc="T T T"
Tb 0.000 0.000 1.688
Tb 0.000 0.000 5.309
Y 3.580 0.000 0.000
Pu 3.580 0.000 3.498
O 1.379 0.000 0.000
O 1.586 0.000 3.498
O 3.580 1.336 1.952
O 3.580 1.336 5.044
O 3.580 -1.336 1.952
O 3.580 -1.336 5.044
O 5.574 0.000 3.498
O 5.781 0.000 0.000
```

Calculated values
Space-group type = No. 65
Formation energy from raw total energies = -3.08 eV/atom
Size of the total moment = 1.00 μB per formula unit

No. 2
Entry from Alexandria via LeMat-Bulk: CsTaBe after structural relaxation (GGA-PBE).

Structure (extended XYZ):
```
6
Lattice="4.412 0.000 0.000 2.205 3.822 0.000 0.624 0.219 12.652" Properties=species:S:1:pos:R:3 pbc="T T T"
Cs 0.000 0.000 0.000
Cs 2.832 1.485 5.143
Ta 0.612 0.224 8.879
Ta 2.818 1.499 8.913
Be 5.025 2.771 9.922
Be 5.024 2.773 7.868
```

Calculated values
ΔE_f = 0.63 eV per atom
Space-group type = No. 1
DOS(E_F) = 1.26 states/eV/f.u.
Size of the total moment = 0.00 μB per formula unit

No. 3
Entry from Alexandria via LeMat-Bulk: CaTlSe2 after structural relaxation (GGA-PBE).

Structure (extended XYZ):
```
4
Lattice="0.000 3.720 3.720 3.720 0.000 3.720 3.720 3.720 0.000" Properties=species:S:1:pos:R:3 pbc="T T T"
Ca 0.000 0.000 0.000
Tl 1.860 1.860 1.860
Se 3.720 3.720 3.720
Se 5.580 5.580 5.580
```

Calculated values
Space-group type = No. 216
Formation energy from raw total energies = -0.49 eV/atom
DOS(E_F) = 2.80 states/eV/f.u.
Size of the total moment = 0.00 μB per formula unit

No. 4
Entry from Alexandria via LeMat-Bulk: BaNp2ZnP4 after structural relaxation (GGA-PBE).

Structure (extended XYZ):
```
16
Lattice="2.047 -6.840 0.000 2.047 6.840 0.000 0.000 0.000 13.532" Properties=species:S:1:pos:R:3 pbc="T T T"
Ba 2.047 5.300 10.149
Ba 2.047 -5.300 3.383
Np 2.047 1.767 7.535
Np 2.047 1.767 12.762
Np 2.047 -1.767 0.769
Np 2.047 -1.767 5.996
Zn 2.047 4.683 3.383
Zn 2.047 -4.683 10.149
P 0.000 0.000 0.000
P 0.000 0.000 6.766
P 2.047 3.330 1.432
P 2.047 3.330 5.334
P 2.047 0.888 10.149
P 2.047 -0.888 3.383
P 2.047 -3.330 8.198
P 2.047 -3.330 12.100
```

Calculated values
ΔE_f = -0.76 eV per atom
Space-group type = No. 63
DOS(E_F) = 19.24 states/eV/f.u.
Size of the total moment = 6.00 μB per formula unit

No. 5
Entry from Alexandria via LeMat-Bulk: Nd4DyTm5 after structural relaxation (GGA-PBE).

Structure (extended XYZ):
```
10
Lattice="3.510 0.000 0.000 1.746 8.519 0.000 0.001 0.023 11.266" Properties=species:S:1:pos:R:3 pbc="T T T"
Nd 0.872 3.705 2.806
Nd 2.629 6.969 2.818
Nd 2.627 1.573 8.448
Nd 4.384 4.837 8.460
Dy 2.628 4.271 5.633
Tm 0.874 1.316 0.523
Tm 0.875 1.316 5.089
Tm 2.628 4.260 0.000
Tm 4.381 7.226 6.176
Tm 4.382 7.226 10.742
```

Calculated values
ΔE_f = 0.20 eV per atom
Space-group type = No. 2
DOS(E_F) = 13.56 states/eV/f.u.
Size of the total moment = 0.00 μB per formula unit

No. 6
Entry from Alexandria via LeMat-Bulk: Cr4Fe after structural relaxation (GGA-PBE).

Structure (extended XYZ):
```
5
Lattice="4.261 0.000 0.000 0.000 4.261 0.000 0.000 0.000 4.261" Properties=species:S:1:pos:R:3 pbc="T T T"
Cr 0.000 0.000 0.000
Cr 0.000 2.131 2.131
Cr 2.131 0.000 2.131
Cr 2.131 2.131 0.000
Fe 2.131 2.131 2.131
```

Calculated values
ΔE_f = 1.14 eV per atom
Space-group type = No. 221
DOS(E_F) = 7.39 states/eV/f.u.
Size of the total moment = 1.45 μB per formula unit